Record 1
A relaxed AcMnGe2Ru crystal, computed with PBE-GGA.

Computed properties:
Theoretical density: 8837 kg/m³
Energy of formation: -0.524 eV/atom
Density of states at the Fermi level: 2.071 states/eV/f.u.
Size of the total moment: 2.601 Bohr magnetons per cell

a b c (Å): 6.312 6.312 6.312
angles (deg): 140.90 140.90 56.50
Element x y z (fractional)
1 Ac 0.000 0.000 0.000
2 Mn 0.250 0.750 0.500
3 Ge 0.369 0.369 0.000
4 Ge 0.631 0.631 0.000
5 Ru 0.750 0.250 0.500

---

Record 2
A relaxed Gd2YMg crystal, computed with PBE-GGA.

Computed properties:
ΔE to the lowest computed polymorph: 26.7 meV/atom
Theoretical density: 5849 kg/m³
Energy of formation: -0.001 eV/atom
Density of states at the Fermi level: 5.326 states/eV/f.u.
Size of the total moment: 15.960 Bohr magnetons per cell

a b c (Å): 4.959 4.959 4.938
angles (deg): 90.00 90.00 90.00
Element x y z (fractional)
1 Gd 0.000 0.500 0.000
2 Gd 0.500 0.000 0.000
3 Y 0.000 0.000 0.500
4 Mg 0.500 0.500 0.500

---

Record 3
A relaxed CaDyTcN3 crystal, computed with PBE-GGA.

Computed properties:
Theoretical density: 5495 kg/m³
Formation energy without anion corrections: -766 meV/atom
Density of states at the Fermi level: 1.647 states/eV/f.u.
Size of the total moment: 0.000 Bohr magnetons per cell

a b c (Å): 7.282 3.451 8.412
angles (deg): 90.00 101.60 90.00
Element x y z (fractional)
1 Ca 0.175 0.250 0.142
2 Ca 0.825 0.750 0.858
3 Dy 0.377 0.750 0.844
4 Dy 0.623 0.250 0.156
5 Tc 0.052 0.250 0.617
6 Tc 0.948 0.750 0.383
7 N 0.083 0.250 0.841
8 N 0.175 0.750 0.567
9 N 0.409 0.750 0.121
10 N 0.591 0.250 0.879
11 N 0.825 0.250 0.433
12 N 0.917 0.750 0.159

---

Record 4
A relaxed AlRh2Pb crystal, computed with PBE-GGA.

Computed properties:
Theoretical density: 9453 kg/m³
Energy of formation: 0.080 eV/atom
Density of states at the Fermi level: 2.836 states/eV/f.u.
Size of the total moment: 0.000 Bohr magnetons per cell

a b c (Å): 9.029 9.029 9.029
angles (deg): 152.70 152.70 38.99
Element x y z (fractional)
1 Al 0.000 0.000 0.000
2 Al 0.750 0.250 0.500
3 Rh 0.074 0.625 0.949
4 Rh 0.375 0.324 0.449
5 Rh 0.676 0.125 0.051
6 Rh 0.875 0.926 0.551
7 Pb 0.250 0.750 0.500
8 Pb 0.500 0.500 0.000

---

Record 5
A relaxed PrPaZn17 crystal, computed with PBE-GGA.

Computed properties:
Theoretical density: 7931 kg/m³
Energy of formation: -0.181 eV/atom
Density of states at the Fermi level: 9.434 states/eV/f.u.
Size of the total moment: 1.001 Bohr magnetons per cell

a b c (Å): 6.823 6.823 6.823
angles (deg): 82.81 82.81 82.81
Element x y z (fractional)
1 Pr 0.000 0.000 0.000
2 Pa 0.327 0.327 0.327
3 Zn 0.018 0.018 0.497
4 Zn 0.018 0.497 0.018
5 Zn 0.163 0.663 0.663
6 Zn 0.314 0.314 0.819
7 Zn 0.314 0.819 0.314
8 Zn 0.369 0.662 0.959
9 Zn 0.369 0.959 0.662
10 Zn 0.497 0.018 0.018
11 Zn 0.562 0.562 0.562
12 Zn 0.662 0.369 0.959
13 Zn 0.662 0.959 0.369
14 Zn 0.663 0.163 0.663
15 Zn 0.663 0.663 0.163
16 Zn 0.760 0.760 0.760
17 Zn 0.819 0.314 0.314
18 Zn 0.959 0.369 0.662
19 Zn 0.959 0.662 0.369

---

Record 6
A relaxed TcSbTe2P crystal, computed with PBE-GGA.

Computed properties:
ΔE to the lowest computed polymorph: 0.0 meV/atom
Theoretical density: 6613 kg/m³
Formation energy without anion corrections: 750 meV/atom
Density of states at the Fermi level: 4.899 states/eV/f.u.
Size of the total moment: 0.000 Bohr magnetons per cell

a b c (Å): 5.346 5.346 4.446
angles (deg): 90.00 90.00 90.00
Element x y z (fractional)
1 Tc 0.000 0.000 0.000
2 Sb 0.500 0.500 0.000
3 Te 0.000 0.500 0.500
4 Te 0.500 0.000 0.500
5 P 0.000 0.000 0.500

---

Record 7
A relaxed CdNiPd6 crystal, computed with PBE-GGA.

Computed properties:
Theoretical density: 10875 kg/m³
Energy of formation: -0.097 eV/atom
Density of states at the Fermi level: 13.330 states/eV/f.u.
Size of the total moment: 0.804 Bohr magnetons per cell

a b c (Å): 3.957 3.957 7.897
angles (deg): 90.00 90.00 90.00
Element x y z (fractional)
1 Cd 0.000 0.000 0.000
2 Ni 0.000 0.000 0.500
3 Pd 0.000 0.500 0.263
4 Pd 0.000 0.500 0.737
5 Pd 0.500 0.000 0.263
6 Pd 0.500 0.000 0.737
7 Pd 0.500 0.500 0.000
8 Pd 0.500 0.500 0.500

---

Record 8
A relaxed Ba2LiTlCu crystal, computed with PBE-GGA.

Computed properties:
ΔE to the lowest computed polymorph: 0.0 meV/atom
Theoretical density: 4941 kg/m³
Energy of formation: -0.053 eV/atom
Density of states at the Fermi level: 3.163 states/eV/f.u.
Size of the total moment: 0.000 Bohr magnetons per cell

a b c (Å): 6.241 6.241 4.742
angles (deg): 90.00 90.00 90.00
Element x y z (fractional)
1 Ba 0.000 0.500 0.000
2 Ba 0.500 0.000 0.000
3 Li 0.000 0.000 0.500
4 Tl 0.500 0.500 0.500
5 Cu 0.000 0.000 0.000

---

Record 9
A relaxed Sc2PtRh crystal, computed with PBE-GGA.

Computed properties:
Theoretical density: 8619 kg/m³
Energy of formation: -0.865 eV/atom
Density of states at the Fermi level: 2.861 states/eV/f.u.
Size of the total moment: 0.000 Bohr magnetons per cell

a b c (Å): 3.638 3.638 5.648
angles (deg): 90.00 90.00 90.00
Element x y z (fractional)
1 Sc 0.000 0.000 0.000
2 Sc 0.500 0.500 0.361
3 Pt 0.000 0.000 0.507
4 Rh 0.500 0.500 0.864

---

Record 10
A relaxed ZrSbSI2 crystal, computed with PBE-GGA.

Computed properties:
ΔE to the lowest computed polymorph: 0.0 meV/atom
Theoretical density: 4615 kg/m³
Formation energy without anion corrections: 250 meV/atom
Density of states at the Fermi level: 5.742 states/eV/f.u.
Size of the total moment: 0.764 Bohr magnetons per cell

a b c (Å): 5.538 5.538 5.854
angles (deg): 90.00 90.00 90.00
Element x y z (fractional)
1 Zr 0.000 0.000 0.000
2 Sb 0.000 0.000 0.500
3 S 0.500 0.500 0.500
4 I 0.000 0.500 0.000
5 I 0.500 0.000 0.000

---

Record 11
A relaxed MoPt2 crystal, computed with PBE-GGA.

Computed properties:
ΔE to the lowest computed polymorph: 573.3 meV/atom
Theoretical density: 16357 kg/m³
Energy of formation: 0.194 eV/atom
Density of states at the Fermi level: 4.713 states/eV/f.u.
Size of the total moment: 0.000 Bohr magnetons per cell

a b c (Å): 5.183 5.183 8.486
angles (deg): 90.00 90.00 120.00
Element x y z (fractional)
1 Mo 0.333 0.667 0.044
2 Mo 0.333 0.667 0.456
3 Mo 0.667 0.333 0.544
4 Mo 0.667 0.333 0.956
5 Pt 0.000 0.000 0.000
6 Pt 0.000 0.000 0.500
7 Pt 0.170 0.340 0.750
8 Pt 0.170 0.830 0.750
9 Pt 0.340 0.170 0.250
10 Pt 0.660 0.830 0.750
11 Pt 0.830 0.170 0.250
12 Pt 0.830 0.660 0.250

---

Record 12
A relaxed VCu2HPd crystal, computed with PBE-GGA.

Computed properties:
Theoretical density: 8373 kg/m³
Density of states at the Fermi level: 5.153 states/eV/f.u.
Size of the total moment: 2.162 Bohr magnetons per cell
Total DFT energy (no corrections): -5.10 eV/atom

a b c (Å): 3.866 3.866 3.789
angles (deg): 90.00 90.00 90.00
Element x y z (fractional)
1 V 0.000 0.000 0.000
2 Cu 0.000 0.500 0.500
3 Cu 0.500 0.000 0.500
4 H 0.000 0.000 0.500
5 Pd 0.500 0.500 0.000

---

Record 13
A relaxed MgSnHg3 crystal, computed with PBE-GGA.

Computed properties:
ΔE to the lowest computed polymorph: 18.4 meV/atom
Theoretical density: 9360 kg/m³
Energy of formation: -0.004 eV/atom
Density of states at the Fermi level: 1.799 states/eV/f.u.
Size of the total moment: 0.000 Bohr magnetons per cell

a b c (Å): 5.084 8.848 8.848
angles (deg): 138.40 90.00 90.00
Element x y z (fractional)
1 Mg 0.250 0.060 0.940
2 Mg 0.750 0.940 0.060
3 Sn 0.250 0.120 0.378
4 Sn 0.750 0.378 0.120
5 Hg 0.250 0.306 0.840
6 Hg 0.250 0.566 0.420
7 Hg 0.250 0.665 0.867
8 Hg 0.750 0.420 0.566
9 Hg 0.750 0.840 0.306
10 Hg 0.750 0.867 0.665

---

Record 14
A relaxed Hf2CdMo2 crystal, computed with PBE-GGA.

Computed properties:
Theoretical density: 10949 kg/m³
Energy of formation: 0.186 eV/atom
Density of states at the Fermi level: 3.058 states/eV/f.u.
Size of the total moment: 0.000 Bohr magnetons per cell

a b c (Å): 7.578 7.578 3.493
angles (deg): 90.00 90.00 90.00
Element x y z (fractional)
1 Hf 0.185 0.315 0.000
2 Hf 0.315 0.815 0.000
3 Hf 0.685 0.185 0.000
4 Hf 0.815 0.685 0.000
5 Cd 0.000 0.000 0.500
6 Cd 0.500 0.500 0.500
7 Mo 0.109 0.609 0.500
8 Mo 0.391 0.109 0.500
9 Mo 0.609 0.891 0.500
10 Mo 0.891 0.391 0.500

---

Record 15
A relaxed AgSbTe2S crystal, computed with PBE-GGA.

Computed properties:
ΔE to the lowest computed polymorph: 293.5 meV/atom
Theoretical density: 5533 kg/m³
Formation energy without anion corrections: 883 meV/atom
Density of states at the Fermi level: 7.118 states/eV/f.u.
Size of the total moment: 0.985 Bohr magnetons per cell

a b c (Å): 5.333 5.333 5.455
angles (deg): 90.00 90.00 90.00
Element x y z (fractional)
1 Ag 0.000 0.000 0.000
2 Sb 0.000 0.000 0.500
3 Te 0.000 0.500 0.000
4 Te 0.500 0.000 0.000
5 S 0.500 0.500 0.500

---

Record 16
A relaxed NiHg2Te crystal, computed with PBE-GGA.

Computed properties:
Theoretical density: 9761 kg/m³
Formation energy without anion corrections: 12 meV/atom
Density of states at the Fermi level: 1.689 states/eV/f.u.
Size of the total moment: 0.000 Bohr magnetons per cell

a b c (Å): 3.407 6.307 6.307
angles (deg): 47.53 90.00 90.00
Element x y z (fractional)
1 Ni 0.000 0.000 0.000
2 Hg 0.000 0.458 0.458
3 Hg 0.500 0.820 0.820
4 Te 0.500 0.155 0.155

---

Record 17
A relaxed BaIn6Pd3 crystal, computed with PBE-GGA.

Computed properties:
Theoretical density: 8064 kg/m³
Energy of formation: -0.386 eV/atom
Density of states at the Fermi level: 3.685 states/eV/f.u.
Size of the total moment: 0.000 Bohr magnetons per cell

a b c (Å): 7.874 7.292 9.230
angles (deg): 90.00 117.10 90.00
Element x y z (fractional)
1 Ba 0.000 0.000 0.000
2 Ba 0.000 0.500 0.500
3 In 0.133 0.012 0.682
4 In 0.133 0.488 0.182
5 In 0.302 0.670 0.904
6 In 0.302 0.830 0.404
7 In 0.442 0.200 0.241
8 In 0.442 0.300 0.741
9 In 0.558 0.700 0.259
10 In 0.558 0.800 0.759
11 In 0.698 0.170 0.596
12 In 0.698 0.330 0.096
13 In 0.867 0.512 0.818
14 In 0.867 0.988 0.318
15 Pd 0.218 0.186 0.409
16 Pd 0.218 0.314 0.909
17 Pd 0.500 0.000 0.000
18 Pd 0.500 0.500 0.500
19 Pd 0.782 0.686 0.091
20 Pd 0.782 0.814 0.591

---

Record 18
A relaxed Pm4Pb2Br5 crystal, computed with PBE-GGA.

Computed properties:
Theoretical density: 5883 kg/m³
Formation energy without anion corrections: -895 meV/atom
Density of states at the Fermi level: 9.937 states/eV/f.u.
Size of the total moment: 0.000 Bohr magnetons per cell

a b c (Å): 13.921 13.921 13.921
angles (deg): 164.83 146.11 37.32
Element x y z (fractional)
1 Pm 0.114 0.114 0.000
2 Pm 0.204 0.500 0.704
3 Pm 0.796 0.500 0.296
4 Pm 0.886 0.886 0.000
5 Pb 0.243 0.243 0.000
6 Pb 0.757 0.757 0.000
7 Br 0.169 0.389 0.780
8 Br 0.391 0.611 0.780
9 Br 0.500 0.000 0.500
10 Br 0.609 0.389 0.220
11 Br 0.831 0.611 0.220

---

Record 19
A relaxed NaLa3Rh crystal, computed with PBE-GGA.

Computed properties:
ΔE to the lowest computed polymorph: 0.0 meV/atom
Theoretical density: 4856 kg/m³
Energy of formation: -0.222 eV/atom
Density of states at the Fermi level: 3.674 states/eV/f.u.
Size of the total moment: 0.000 Bohr magnetons per cell

a b c (Å): 5.703 5.703 5.703
angles (deg): 90.00 90.00 90.00
Element x y z (fractional)
1 Na 0.000 0.000 0.000
2 La 0.000 0.500 0.500
3 La 0.500 0.000 0.500
4 La 0.500 0.500 0.000
5 Rh 0.500 0.500 0.500

---

Record 20
A relaxed CeDy2Y6 crystal, computed with PBE-GGA.

Computed properties:
ΔE to the lowest computed polymorph: 123.0 meV/atom
Theoretical density: 5604 kg/m³
Energy of formation: 0.168 eV/atom
Density of states at the Fermi level: 19.048 states/eV/f.u.
Size of the total moment: 2.015 Bohr magnetons per cell

a b c (Å): 6.210 6.210 15.392
angles (deg): 92.07 92.07 93.35
Element x y z (fractional)
1 Ce 0.231 0.769 0.750
2 Ce 0.769 0.231 0.250
3 Dy 0.107 0.620 0.314
4 Dy 0.380 0.893 0.186
5 Dy 0.620 0.107 0.814
6 Dy 0.893 0.380 0.686
7 Y 0.159 0.297 0.881
8 Y 0.177 0.732 0.523
9 Y 0.259 0.369 0.117
10 Y 0.268 0.823 0.977
11 Y 0.297 0.159 0.381
12 Y 0.369 0.259 0.617
13 Y 0.631 0.741 0.383
14 Y 0.703 0.841 0.619
15 Y 0.732 0.177 0.023
16 Y 0.741 0.631 0.883
17 Y 0.823 0.268 0.477
18 Y 0.841 0.703 0.119